Density functional theory data (PBEsol) for an optimized crystal structure of TmMg16Al12.

Cell: 9.1252 9.1252 9.1252 Å, 109.96 109.96 109.96°
Element x y z (fractional)
Tm1 0.0000 0.0000 0.0000
Mg1 0.0220 0.3158 0.6283
Mg2 0.0220 0.6283 0.3158
Mg3 0.2353 0.2353 0.9055
Mg4 0.2353 0.9055 0.2353
Mg5 0.2830 0.6256 0.6256
Mg6 0.3158 0.0220 0.6283
Mg7 0.3158 0.6283 0.0220
Mg8 0.3455 0.9435 0.9435
Mg9 0.6256 0.2830 0.6256
Mg10 0.6256 0.6256 0.2830
Mg11 0.6283 0.0220 0.3158
Mg12 0.6283 0.3158 0.0220
Mg13 0.6279 0.6279 0.6279
Mg14 0.9055 0.2353 0.2353
Mg15 0.9435 0.3455 0.9435
Mg16 0.9435 0.9435 0.3455
Al1 0.2534 0.2534 0.4373
Al2 0.2534 0.4373 0.2534
Al3 0.4373 0.2534 0.2534
Al4 0.4393 0.4393 0.8014
Al5 0.4393 0.8014 0.4393
Al6 0.6315 0.8153 0.9947
Al7 0.6315 0.9947 0.8153
Al8 0.8014 0.4393 0.4393
Al9 0.8153 0.6315 0.9947
Al10 0.8153 0.9947 0.6315
Al11 0.9947 0.6315 0.8153
Al12 0.9947 0.8153 0.6315

## Properties
ΔE_f: -0.057 eV per atom
Excess energy over the best structure of this formula in the dataset: 8 meV/atom

Density functional theory data (PBEsol) for an optimized crystal structure of YMgAl2.

Cell: 3.4524 3.4524 6.9579 Å, 90.00 90.00 90.00°
Element x y z (fractional)
Y1 0.0000 0.0000 0.0000
Mg1 0.0000 0.0000 0.5000
Al1 0.5000 0.5000 0.2818
Al2 0.5000 0.5000 0.7182

## Properties
ΔE_f: -0.205 eV per atom

Density functional theory data (PBEsol) for an optimized crystal structure of YMgAl.

Cell: 4.8042 4.8042 3.4277 Å, 90.00 90.00 120.00°
Element x y z (fractional)
Y1 0.0000 0.0000 0.0000
Mg1 0.6667 0.3333 0.5000
Al1 0.3333 0.6667 0.5000

## Properties
ΔE_f: -0.270 eV per atom
Excess energy over the best structure of this formula in the dataset: 55 meV/atom

Density functional theory data (PBEsol) for an optimized crystal structure of YMgAl2.

Cell: 4.3588 4.3588 4.2923 Å, 90.00 90.00 90.00°
Element x y z (fractional)
Y1 0.0000 0.0000 0.0000
Mg1 0.5000 0.5000 0.0000
Al1 0.0000 0.5000 0.5000
Al2 0.5000 0.0000 0.5000

## Properties
ΔE_f: -0.353 eV per atom

Density functional theory data (PBEsol) for an optimized crystal structure of YMg16Al12.

Cell: 9.0676 9.0676 9.0676 Å, 109.47 109.47 109.47°
Element x y z (fractional)
Y1 0.0000 0.0000 0.0000
Mg1 0.0000 0.0000 0.6424
Mg2 0.0000 0.3973 0.6808
Mg3 0.0000 0.6424 0.0000
Mg4 0.0000 0.6808 0.3973
Mg5 0.2835 0.6027 0.6027
Mg6 0.3192 0.3192 0.7165
Mg7 0.3192 0.7165 0.3192
Mg8 0.3576 0.3576 0.3576
Mg9 0.3973 0.0000 0.6808
Mg10 0.3973 0.6808 0.0000
Mg11 0.6027 0.2835 0.6027
Mg12 0.6027 0.6027 0.2835
Mg13 0.6424 0.0000 0.0000
Mg14 0.6808 0.0000 0.3973
Mg15 0.6808 0.3973 0.0000
Mg16 0.7165 0.3192 0.3192
Al1 0.0000 0.1867 0.3677
Al2 0.0000 0.3677 0.1867
Al3 0.1810 0.8133 0.8133
Al4 0.1867 0.0000 0.3677
Al5 0.1867 0.3677 0.0000
Al6 0.3677 0.0000 0.1867
Al7 0.3677 0.1867 0.0000
Al8 0.6323 0.6323 0.8190
Al9 0.6323 0.8190 0.6323
Al10 0.8133 0.1810 0.8133
Al11 0.8133 0.8133 0.1810
Al12 0.8190 0.6323 0.6323

## Properties
ΔE_f: -0.070 eV per atom
Excess energy over the best structure of this formula in the dataset: 0 meV/atom

Density functional theory data (PBEsol) for an optimized crystal structure of YMg16Al12.

Cell: 9.1376 9.1376 9.1376 Å, 109.97 109.97 109.97°
Element x y z (fractional)
Y1 0.0000 0.0000 0.0000
Mg1 0.0570 0.0570 0.6552
Mg2 0.0570 0.6552 0.0570
Mg3 0.0950 0.7644 0.7644
Mg4 0.3722 0.6848 0.9786
Mg5 0.3722 0.9786 0.6848
Mg6 0.3734 0.3734 0.3734
Mg7 0.3749 0.3749 0.7178
Mg8 0.3749 0.7178 0.3749
Mg9 0.6552 0.0570 0.0570
Mg10 0.6848 0.3722 0.9786
Mg11 0.6848 0.9786 0.3722
Mg12 0.7178 0.3749 0.3749
Mg13 0.7644 0.0950 0.7644
Mg14 0.7644 0.7644 0.0950
Mg15 0.9786 0.3722 0.6848
Mg16 0.9786 0.6848 0.3722
Al1 0.0062 0.1859 0.3703
Al2 0.0062 0.3703 0.1859
Al3 0.1859 0.0062 0.3703
Al4 0.1859 0.3703 0.0062
Al5 0.1990 0.5612 0.5612
Al6 0.3703 0.0062 0.1859
Al7 0.3703 0.1859 0.0062
Al8 0.5612 0.1990 0.5612
Al9 0.5612 0.5612 0.1990
Al10 0.5622 0.7463 0.7463
Al11 0.7463 0.5622 0.7463
Al12 0.7463 0.7463 0.5622

## Properties
ΔE_f: -0.062 eV per atom
Excess energy over the best structure of this formula in the dataset: 7 meV/atom

Density functional theory data (PBEsol) for an optimized crystal structure of YMgAl.

Cell: 4.8022 4.8022 4.8022 Å, 60.00 60.00 60.00°
Element x y z (fractional)
Y1 0.0000 0.0000 0.0000
Mg1 0.5000 0.5000 0.5000
Al1 0.2500 0.2500 0.2500

## Properties
ΔE_f: -0.083 eV per atom
Excess energy over the best structure of this formula in the dataset: 242 meV/atom

Density functional theory data (PBEsol) for an optimized crystal structure of YMgAl.

Cell: 7.3036 7.3036 4.5044 Å, 90.00 90.00 120.00°
Element x y z (fractional)
Y1 0.0000 0.4331 0.0000
Y2 0.4331 0.0000 0.0000
Y3 0.5669 0.5669 0.0000
Mg1 0.0000 0.7583 0.5000
Mg2 0.2417 0.2417 0.5000
Mg3 0.7583 0.0000 0.5000
Al1 0.0000 0.0000 0.0000
Al2 0.3333 0.6667 0.5000
Al3 0.6667 0.3333 0.5000

## Properties
ΔE_f: -0.325 eV per atom
Excess energy over the best structure of this formula in the dataset: 0 meV/atom

Density functional theory data (PBEsol) for an optimized crystal structure of Mg16Al12Zn.

Cell: 8.9947 8.9947 8.9947 Å, 109.17 109.17 109.17°
Element x y z (fractional)
Mg1 0.0000 0.0000 0.0000
Mg2 0.0019 0.0019 0.6534
Mg3 0.0019 0.6534 0.0019
Mg4 0.0025 0.4036 0.6822
Mg5 0.0025 0.6822 0.4036
Mg6 0.2951 0.5884 0.5884
Mg7 0.3166 0.3166 0.7165
Mg8 0.3166 0.7165 0.3166
Mg9 0.4036 0.0025 0.6822
Mg10 0.4036 0.6822 0.0025
Mg11 0.5884 0.2951 0.5884
Mg12 0.5884 0.5884 0.2951
Mg13 0.6534 0.0019 0.0019
Mg14 0.6822 0.0025 0.4036
Mg15 0.6822 0.4036 0.0025
Mg16 0.7165 0.3166 0.3166
Al1 0.1844 0.3673 0.9994
Al2 0.1844 0.9994 0.3673
Al3 0.1911 0.8136 0.8136
Al4 0.3673 0.1844 0.9994
Al5 0.3673 0.9994 0.1844
Al6 0.6419 0.6419 0.8300
Al7 0.6419 0.8300 0.6419
Al8 0.8136 0.1911 0.8136
Al9 0.8136 0.8136 0.1911
Al10 0.8300 0.6419 0.6419
Al11 0.9994 0.1844 0.3673
Al12 0.9994 0.3673 0.1844
Zn1 0.3104 0.3104 0.3104

## Properties
ΔE_f: -0.008 eV per atom
Excess energy over the best structure of this formula in the dataset: 6 meV/atom

Density functional theory data (PBEsol) for an optimized crystal structure of MgAl2Zn.

Cell: 2.9457 4.2619 5.6541 Å, 90.00 104.84 90.00°
Element x y z (fractional)
Mg1 0.0000 0.0000 0.0000
Al1 0.3429 0.5000 0.6869
Al2 0.7389 0.0000 0.4803
Zn1 0.5967 0.5000 0.1972

## Properties
ΔE_f: 0.025 eV per atom

Density functional theory data (PBEsol) for an optimized crystal structure of MgAl2Zn.

Cell: 5.0090 5.0090 2.9213 Å, 90.00 90.00 111.31°
Element x y z (fractional)
Mg1 0.0000 0.0000 0.0000
Al1 0.0000 0.5000 0.5000
Al2 0.5000 0.0000 0.5000
Zn1 0.5000 0.5000 0.0000

## Properties
ΔE_f: 0.031 eV per atom